No. 1
The following is a DFT calculation (PBE) of crystalline In3Sb at its relaxed geometry.

Output
Symmetry = Pmmn
Uncorrected formation energy = 0.032 eV per atom
VASP energy = -3.052 eV per atom

abc: 5.198 6.400 6.757
angles: 90.00 90.00 90.00
Element x y z (fractional)
In1 0.500 0.339 0.000
In2 0.000 0.661 0.500
In3 0.000 0.160 0.253
In4 0.000 0.160 0.747
In5 0.500 0.840 0.753
In6 0.500 0.840 0.247
Sb1 0.000 0.624 0.000
Sb2 0.500 0.376 0.500

=====

No. 2
The following is a DFT calculation (PBE) of crystalline InSb2 at its relaxed geometry.

Output
Symmetry = Cmcm
Uncorrected formation energy = 0.101 eV per atom
VASP energy = -3.560 eV per atom

abc: 9.830 9.830 4.053
angles: 90.00 90.00 152.71
Element x y z (fractional)
In1 0.114 0.886 0.750
In2 0.886 0.114 0.250
Sb1 0.444 0.556 0.750
Sb2 0.556 0.444 0.250
Sb3 0.738 0.262 0.750
Sb4 0.262 0.738 0.250

=====

No. 3
The following is a DFT calculation (PBE) of crystalline InSb2 at its relaxed geometry.

Output
Symmetry = Pnnm
Uncorrected formation energy = 0.102 eV per atom
VASP energy = -3.559 eV per atom

abc: 4.390 5.949 7.381
angles: 90.00 90.00 90.00
Element x y z (fractional)
In1 0.000 0.000 0.000
In2 0.500 0.500 0.500
Sb1 0.000 0.183 0.618
Sb2 0.000 0.817 0.382
Sb3 0.500 0.683 0.882
Sb4 0.500 0.317 0.118

=====

No. 4
The following is a DFT calculation (PBE) of crystalline In3Sb2 at its relaxed geometry.

Output
Symmetry = R-3m
Distance to the lowest polymorph of the same formula = 0.027 eV per atom
Uncorrected formation energy = 0.021 eV per atom
VASP energy = -3.271 eV per atom

abc: 9.052 9.052 9.052
angles: 28.24 28.24 28.24
Element x y z (fractional)
In1 0.000 0.000 0.000
In2 0.796 0.796 0.796
In3 0.204 0.204 0.204
Sb1 0.401 0.401 0.401
Sb2 0.599 0.599 0.599

=====

No. 5
The following is a DFT calculation (PBE) of crystalline InSb2 at its relaxed geometry.

Output
Symmetry = Pa-3
Uncorrected formation energy = 0.080 eV per atom
VASP energy = -3.581 eV per atom

abc: 7.215 7.215 7.215
angles: 90.00 90.00 90.00
Element x y z (fractional)
Sb1 0.613 0.613 0.387
Sb2 0.387 0.387 0.613
Sb3 0.113 0.887 0.613
Sb4 0.887 0.113 0.387
Sb5 0.387 0.113 0.113
Sb6 0.613 0.887 0.887
Sb7 0.887 0.387 0.887
Sb8 0.113 0.613 0.113
In1 0.000 0.000 0.000
In2 0.500 0.500 0.000
In3 0.500 0.000 0.500
In4 0.000 0.500 0.500

=====

No. 6
The following is a DFT calculation (PBE) of crystalline In5Sb4 at its relaxed geometry.

Output
Symmetry = P6_3/mcm
Distance to the lowest polymorph of the same formula = 0.000 eV per atom
Uncorrected formation energy = 0.060 eV per atom
VASP energy = -3.293 eV per atom

abc: 9.434 9.434 6.493
angles: 90.00 90.00 120.00
Element x y z (fractional)
Sb1 0.000 0.000 0.000
Sb2 0.000 0.000 0.500
Sb3 0.000 0.305 0.250
Sb4 0.695 0.695 0.250
Sb5 0.305 0.000 0.250
Sb6 0.000 0.695 0.750
Sb7 0.305 0.305 0.750
Sb8 0.695 0.000 0.750
In1 0.000 0.646 0.250
In2 0.354 0.354 0.250
In3 0.646 0.000 0.250
In4 0.000 0.354 0.750
In5 0.646 0.646 0.750
In6 0.354 0.000 0.750
In7 0.667 0.333 0.000
In8 0.333 0.667 0.500
In9 0.333 0.667 0.000
In10 0.667 0.333 0.500

=====

No. 7
The following is a DFT calculation (PBE) of crystalline InSb2 at its relaxed geometry.

Output
Symmetry = P6/mmm
Uncorrected formation energy = 0.082 eV per atom
VASP energy = -3.579 eV per atom

abc: 5.466 5.466 3.278
angles: 90.00 90.00 120.00
Element x y z (fractional)
In1 0.000 0.000 0.000
Sb1 0.333 0.667 0.501
Sb2 0.667 0.333 0.499

=====

No. 8
The following is a DFT calculation (PBE) of crystalline In3Sb at its relaxed geometry.

Output
Symmetry = Pm-3m
Uncorrected formation energy = 0.633 eV per atom
VASP energy = -2.452 eV per atom

abc: 6.110 6.110 6.110
angles: 90.00 90.00 90.00
Element x y z (fractional)
In1 0.500 0.000 0.000
In2 0.000 0.500 0.000
In3 0.000 0.000 0.500
Sb1 0.000 0.000 0.000

=====

No. 9
The following is a DFT calculation (PBE) of crystalline InSb5 at its relaxed geometry.

Output
Symmetry = Cmmm
Distance to the lowest polymorph of the same formula = 0.012 eV per atom
Uncorrected formation energy = 0.177 eV per atom
VASP energy = -3.715 eV per atom

abc: 3.984 5.094 8.681
angles: 107.06 90.00 90.00
Element x y z (fractional)
Sb1 0.000 0.650 0.300
Sb2 0.000 0.350 0.700
Sb3 0.500 0.500 0.000
Sb4 0.500 0.190 0.379
Sb5 0.500 0.810 0.621
In1 0.000 0.000 0.000

=====

No. 10
The following is a DFT calculation (PBE) of crystalline In5Sb at its relaxed geometry.

Output
Symmetry = P-62m
Distance to the lowest polymorph of the same formula = 0.012 eV per atom
Uncorrected formation energy = 0.029 eV per atom
VASP energy = -2.940 eV per atom

abc: 5.900 5.900 5.462
angles: 90.00 90.00 120.00
Element x y z (fractional)
In1 0.003 0.000 0.000
In2 0.663 0.330 0.000
In3 0.333 0.670 0.000
In4 0.000 0.333 0.500
In5 0.667 0.667 0.500
Sb1 0.333 0.000 0.500

=====

No. 11
The following is a DFT calculation (PBE) of crystalline InSb5 at its relaxed geometry.

Output
Symmetry = Cmmm
Distance to the lowest polymorph of the same formula = 0.024 eV per atom
Uncorrected formation energy = 0.188 eV per atom
VASP energy = -3.703 eV per atom

abc: 8.394 8.394 5.572
angles: 90.00 90.00 155.02
Element x y z (fractional)
In1 0.972 0.028 0.000
Sb1 0.297 0.703 0.000
Sb2 0.648 0.352 0.000
Sb3 0.472 0.528 0.500
Sb4 0.808 0.192 0.500
Sb5 0.136 0.864 0.500

=====

No. 12
The following is a DFT calculation (PBE) of crystalline In5Sb at its relaxed geometry.

Output
Symmetry = P4/mmm
Distance to the lowest polymorph of the same formula = 0.017 eV per atom
Uncorrected formation energy = 0.034 eV per atom
VASP energy = -2.935 eV per atom

abc: 3.253 3.253 15.605
angles: 90.00 90.00 90.00
Element x y z (fractional)
In1 0.000 0.000 0.835
In2 0.000 0.000 0.165
In3 0.500 0.500 0.664
In4 0.500 0.500 0.336
In5 0.000 0.000 0.500
Sb1 0.500 0.500 0.000

=====

No. 13
The following is a DFT calculation (PBE) of crystalline InSb2 at its relaxed geometry.

Output
Symmetry = P-1
Uncorrected formation energy = 0.058 eV per atom
VASP energy = -3.603 eV per atom

abc: 4.363 6.320 6.916
angles: 99.42 105.03 104.17
Element x y z (fractional)
In1 0.165 0.083 0.334
In2 0.835 0.917 0.666
Sb1 0.500 0.500 0.000
Sb2 0.500 0.000 0.000
Sb3 0.175 0.590 0.345
Sb4 0.825 0.410 0.655

=====

No. 14
The following is a DFT calculation (PBE) of crystalline InSb3 at its relaxed geometry.

Output
Symmetry = P2/m
Distance to the lowest polymorph of the same formula = 0.107 eV per atom
Uncorrected formation energy = 0.097 eV per atom
VASP energy = -3.680 eV per atom

abc: 5.368 3.217 6.631
angles: 90.14 90.00 90.00
Element x y z (fractional)
In1 0.000 0.000 0.000
Sb1 0.500 0.501 0.760
Sb2 0.000 0.500 0.500
Sb3 0.500 0.499 0.240

=====

No. 15
The following is a DFT calculation (PBE) of crystalline InSb2 at its relaxed geometry.

Output
Symmetry = P6_3/mmc
Uncorrected formation energy = 0.170 eV per atom
VASP energy = -3.491 eV per atom

abc: 5.376 5.376 6.549
angles: 90.00 90.00 120.00
Element x y z (fractional)
In1 0.333 0.667 0.250
In2 0.667 0.333 0.750
Sb1 0.000 0.000 0.000
Sb2 0.000 0.000 0.500
Sb3 0.333 0.667 0.750
Sb4 0.667 0.333 0.250

=====

No. 16
The following is a DFT calculation (PBE) of crystalline InSb at its relaxed geometry.

Output
Symmetry = Cmme
Uncorrected formation energy = 0.109 eV per atom
VASP energy = -3.321 eV per atom

abc: 3.251 3.251 10.572
angles: 90.00 90.00 99.07
Element x y z (fractional)
In1 0.000 0.000 0.001
In2 0.500 0.500 0.749
Sb1 0.000 0.000 0.510
Sb2 0.500 0.500 0.240

=====

No. 17
The following is a DFT calculation (PBE) of crystalline InSb3 at its relaxed geometry.

Output
Symmetry = P4/mmm
Distance to the lowest polymorph of the same formula = 0.221 eV per atom
Uncorrected formation energy = 0.211 eV per atom
VASP energy = -3.566 eV per atom

abc: 3.262 3.262 10.397
angles: 90.00 90.00 90.00
Element x y z (fractional)
In1 0.000 0.000 0.000
Sb1 0.500 0.500 0.751
Sb2 0.000 0.000 0.500
Sb3 0.500 0.500 0.249

=====

No. 18
The following is a DFT calculation (PBE) of crystalline InSb4 at its relaxed geometry.

Output
Symmetry = Im-3m
Distance to the lowest polymorph of the same formula = 0.205 eV per atom
Uncorrected formation energy = 0.365 eV per atom
VASP energy = -3.481 eV per atom

abc: 5.969 5.969 5.969
angles: 109.47 109.47 109.47
Element x y z (fractional)
In1 0.000 0.000 0.000
Sb1 0.500 0.000 0.000
Sb2 0.500 0.500 0.500
Sb3 0.000 0.500 0.000
Sb4 0.000 0.000 0.500

=====

No. 19
The following is a DFT calculation (PBE) of crystalline In3Sb2 at its relaxed geometry.

Output
Symmetry = Fdd2
Distance to the lowest polymorph of the same formula = 0.081 eV per atom
Uncorrected formation energy = 0.075 eV per atom
VASP energy = -3.217 eV per atom

abc: 10.321 8.581 6.949
angles: 82.58 55.53 41.89
Element x y z (fractional)
In1 0.470 0.748 0.454
In2 0.328 0.454 0.748
In3 0.502 0.780 0.922
In4 0.796 0.922 0.780
In5 0.950 0.050 0.050
In6 0.200 0.300 0.300
Sb1 0.847 0.235 0.514
Sb2 0.405 0.514 0.235
Sb3 0.015 0.403 0.845
Sb4 0.736 0.845 0.403

=====

No. 20
The following is a DFT calculation (PBE) of crystalline InSb3 at its relaxed geometry.

Output
Symmetry = Pm-3n
Distance to the lowest polymorph of the same formula = 0.324 eV per atom
Uncorrected formation energy = 0.314 eV per atom
VASP energy = -3.462 eV per atom

abc: 6.079 6.079 6.079
angles: 90.00 90.00 90.00
Element x y z (fractional)
In1 0.000 0.000 0.000
In2 0.500 0.500 0.500
Sb1 0.750 0.500 0.000
Sb2 0.250 0.500 0.000
Sb3 0.000 0.750 0.500
Sb4 0.000 0.250 0.500
Sb5 0.500 0.000 0.250
Sb6 0.500 0.000 0.750